[1]
A relaxed structure of Ce5Ge2SN, computed with PBE-GGA.

```
Ce5Ge2SN
1.0
4.5577 0.0000 0.0000
0.0000 4.5577 0.0000
0.0000 0.0000 10.8386
Ce Ge S N
5 2 1 1
Direct
0.0000 0.5000 0.5000
0.5000 0.0000 0.5000
0.0000 0.0000 0.7455
0.0000 0.0000 0.2545
0.5000 0.5000 0.0000
0.5000 0.5000 0.2891
0.5000 0.5000 0.7109
0.0000 0.0000 0.0000
0.0000 0.0000 0.5000
```

Summary:
SG	P4/mmm
E_form (uncorrected)	-9.1	eV per formula unit

[2]
A relaxed structure of Dy2Al2Fe15, computed with PBE-GGA.

```
Dy2Al2Fe15
1.0
6.3798 0.0430 0.0383
0.8703 6.3203 0.0383
0.8703 0.7639 6.2741
Dy Al Fe
2 2 15
Direct
0.3469 0.3469 0.3469
0.6531 0.6531 0.6531
0.1017 0.1017 0.1017
0.8983 0.8983 0.8983
0.5000 0.0000 0.0000
0.0000 0.0000 0.5000
0.0000 0.5000 0.0000
0.0000 0.6989 0.3011
0.6989 0.3011 0.0000
0.3011 0.0000 0.6989
0.3011 0.6989 0.0000
0.6989 0.0000 0.3011
0.0000 0.3011 0.6989
0.1595 0.6590 0.6590
0.6590 0.6590 0.1595
0.6590 0.1595 0.6590
0.8405 0.3410 0.3410
0.3410 0.3410 0.8405
0.3410 0.8405 0.3410
```

Summary:
raw total energy	-145.4	eV/cell
SG	R-3m

[3]
A relaxed structure of ErTmNi, computed with PBE-GGA.

```
ErTmNi
1.0
-3.0954 -0.1648 -2.3362
3.3683 -1.5650 -1.1279
-1.6032 -5.2482 2.4943
Ni Tm Er
1 1 1
Direct
0.6667 0.3333 0.3320
0.0000 0.0000 0.0939
0.3333 0.6667 0.5741
```

Summary:
raw total energy	-15.4	eV/cell
SG	P3m1

| no. | M_tot (μB/atom) | calculated volume (Å³ per cell) | Fermi-level density of states (states/eV per cell) |
| --- | --- | --- | --- |
| 1 | 0.43 | 225 | 25.72 |
| 2 | 1.46 | 252 | 17.64 |
| 3 | 0.00 | 79 | 1.48 |